1.
This record from Alexandria describes a relaxed structure of AcSc2Zn6. The functional is PBE-GGA.

Energy of formation from the pure elements in kcal/mol of atoms: -5.29
Total magnetization in μB per formula unit: 0.00
SG: C2/m (12)
Crystal system: monoclinic
Raw total energy in eV per atom: -2.94

a = 3.580 Å, b = 7.900 Å, c = 7.876 Å
α = 120.10°, β = 103.29°, γ = 90.00°
Element x y z (fractional)
Zn 0.680 0.374 0.356
Zn 0.320 0.018 0.644
Zn 0.680 0.982 0.356
Zn 0.320 0.626 0.644
Zn 0.500 0.660 0.000
Zn 0.500 0.340 0.000
Ac 0.000 0.000 0.000
Sc 0.854 0.356 0.712
Sc 0.146 0.644 0.288

2.
This record from Alexandria describes a relaxed structure of CaPr2ErTe4. The functional is PBE-GGA.

Total magnetization in μB per formula unit: 0.00
SG: P2/m (10)
Uncorrected formation energy in eV per atom: -1.43
Crystal system: monoclinic
Raw total energy in eV per atom: -5.01

a = 4.405 Å, b = 7.663 Å, c = 7.878 Å
α = 108.65°, β = 90.00°, γ = 90.00°
Element x y z (fractional)
Ca 0.000 0.000 0.000
Pr 0.500 0.000 0.500
Pr 0.000 0.500 0.500
Te 0.000 0.742 0.234
Te 0.500 0.750 0.763
Te 0.500 0.250 0.237
Te 0.000 0.258 0.766
Er 0.500 0.500 0.000

3.
This record from Alexandria describes a relaxed structure of BaLa3Pt. The functional is PBE-GGA.

E above lowest polymorph in eV per atom: 0.295
Energy of formation from the pure elements in kcal/mol of atoms: -2.67
Total magnetization in μB per formula unit: 0.00
SG: R3m (160)
Crystal system: trigonal
Raw total energy in eV per atom: -4.67

a = 5.760 Å, b = 5.760 Å, c = 5.760 Å
α = 82.06°, β = 82.06°, γ = 82.06°
Element x y z (fractional)
La 0.095 0.095 0.585
La 0.095 0.585 0.095
La 0.585 0.095 0.095
Ba 0.680 0.680 0.680
Pt 0.419 0.419 0.419

4.
This record from Alexandria describes a relaxed structure of YTe2O. The functional is PBE-GGA.

Total magnetization in μB per formula unit: 0.00
SG: I-42d (122)
Uncorrected formation energy in eV per atom: -0.44
Crystal system: tetragonal
Raw total energy in eV per atom: -4.86

a = 6.024 Å, b = 6.024 Å, c = 7.751 Å
α = 67.13°, β = 67.13°, γ = 90.00°
Element x y z (fractional)
O 0.250 0.750 0.500
O 0.500 0.500 0.000
Te 0.230 0.625 0.250
Te 0.520 0.125 0.250
Te 0.875 0.770 0.750
Te 0.375 0.480 0.750
Y 0.750 0.250 0.500
Y 0.000 0.000 0.000

5.
This record from Alexandria describes a relaxed structure of FeRhPb3. The functional is PBE-GGA.

Energy of formation from the pure elements in kcal/mol of atoms: 16.82
Total magnetization in μB per formula unit: 2.93
SG: Pm-3m (221)
Crystal system: cubic
Raw total energy in eV per atom: -4.66

a = 5.265 Å, b = 5.265 Å, c = 5.265 Å
α = 90.00°, β = 90.00°, γ = 90.00°
Element x y z (fractional)
Pb 0.000 0.500 0.000
Pb 0.500 0.000 0.000
Pb 0.000 0.000 0.500
Fe 0.500 0.500 0.500
Rh 0.000 0.000 0.000

6.
This record from Alexandria describes a relaxed structure of Mg2TcAu2. The functional is PBE-GGA.

E above lowest polymorph in eV per atom: 0.000
Energy of formation from the pure elements in kcal/mol of atoms: 0.31
Total magnetization in μB per formula unit: 0.34
SG: P4/mbm (127)
Crystal system: tetragonal
Raw total energy in eV per atom: -4.01

a = 7.776 Å, b = 7.776 Å, c = 2.890 Å
α = 90.00°, β = 90.00°, γ = 90.00°
Element x y z (fractional)
Au 0.867 0.633 0.000
Au 0.133 0.367 0.000
Au 0.633 0.133 0.000
Au 0.367 0.867 0.000
Mg 0.833 0.333 0.500
Mg 0.333 0.167 0.500
Mg 0.667 0.833 0.500
Mg 0.167 0.667 0.500
Tc 0.000 0.000 0.000
Tc 0.500 0.500 0.000

7.
This record from Alexandria describes a relaxed structure of RbTl3Rh. The functional is PBE-GGA.

E above lowest polymorph in eV per atom: 0.105
Energy of formation from the pure elements in kcal/mol of atoms: 0.96
Total magnetization in μB per formula unit: 0.00
SG: Fd-3m (227)
Crystal system: cubic
Raw total energy in eV per atom: -3.04

a = 10.431 Å, b = 10.431 Å, c = 10.431 Å
α = 60.00°, β = 60.00°, γ = 60.00°
Element x y z (fractional)
Tl 0.580 0.580 0.920
Tl 0.920 0.920 0.580
Tl 0.670 0.330 0.330
Tl 0.920 0.580 0.580
Tl 0.920 0.580 0.920
Tl 0.670 0.330 0.670
Tl 0.330 0.330 0.670
Tl 0.330 0.670 0.670
Tl 0.580 0.920 0.920
Tl 0.580 0.920 0.580
Tl 0.330 0.670 0.330
Tl 0.670 0.670 0.330
Rb 0.125 0.125 0.625
Rb 0.125 0.625 0.125
Rb 0.625 0.125 0.125
Rb 0.125 0.125 0.125
Rh 0.625 0.125 0.625
Rh 0.625 0.625 0.125
Rh 0.625 0.625 0.625
Rh 0.125 0.625 0.625

8.
This record from Alexandria describes a relaxed structure of BaSiCl. The functional is PBE-GGA.

Total magnetization in μB per formula unit: 1.26
SG: P3m1 (156)
Uncorrected formation energy in eV per atom: -0.35
Crystal system: trigonal
Raw total energy in eV per atom: -3.42

a = 4.459 Å, b = 4.459 Å, c = 7.517 Å
α = 90.00°, β = 90.00°, γ = 120.00°
Element x y z (fractional)
Cl 0.667 0.333 0.244
Ba 0.000 0.000 0.033
Si 0.333 0.667 0.723

9.
This record from Alexandria describes a relaxed structure of CuNiCN2. The functional is PBE-GGA.

Total magnetization in μB per formula unit: 0.57
SG: P4/mmm (123)
Uncorrected formation energy in eV per atom: 2.26
Crystal system: tetragonal
Raw total energy in eV per atom: -4.89

a = 3.403 Å, b = 5.335 Å, c = 3.403 Å
α = 90.00°, β = 90.00°, γ = 90.00°
Element x y z (fractional)
N 0.500 0.000 0.000
N 0.000 0.000 0.500
Cu 0.000 0.500 0.000
C 0.500 0.500 0.500
Ni 0.000 0.000 0.000

10.
This record from Alexandria describes a relaxed structure of SmTmSi3. The functional is PBE-GGA.

Total magnetization in μB per formula unit: 0.00
SG: Cmcm (63)
Uncorrected formation energy in eV per atom: -0.69
Crystal system: orthorhombic
Raw total energy in eV per atom: -5.78

a = 3.940 Å, b = 4.171 Å, c = 12.439 Å
α = 99.65°, β = 90.00°, γ = 90.00°
Element x y z (fractional)
Si 0.750 0.621 0.242
Si 0.250 0.379 0.758
Si 0.750 0.525 0.051
Si 0.250 0.475 0.949
Si 0.750 0.320 0.641
Si 0.250 0.680 0.359
Sm 0.750 0.929 0.858
Sm 0.250 0.071 0.142
Tm 0.250 0.797 0.593
Tm 0.750 0.203 0.407

11.
This record from Alexandria describes a relaxed structure of CsRb2ZnCl5. The functional is PBE-GGA.

Total magnetization in μB per formula unit: 0.14
SG: I4/mcm (140)
Uncorrected formation energy in eV per atom: -1.74
Crystal system: tetragonal
Raw total energy in eV per atom: -3.22

a = 9.135 Å, b = 9.135 Å, c = 9.701 Å
α = 118.09°, β = 118.09°, γ = 90.00°
Element x y z (fractional)
Cl 0.987 0.487 0.696
Cl 0.487 0.709 0.696
Cl 0.709 0.209 0.696
Cl 0.791 0.013 0.304
Cl 0.291 0.791 0.304
Cl 0.513 0.291 0.304
Cl 0.013 0.513 0.304
Cl 0.000 0.000 0.000
Cl 0.500 0.500 0.000
Cl 0.209 0.987 0.696
Rb 0.332 0.832 0.000
Rb 0.832 0.668 0.000
Rb 0.168 0.332 0.000
Rb 0.668 0.168 0.000
Zn 0.750 0.250 0.500
Zn 0.250 0.750 0.500
Cs 0.750 0.750 0.500
Cs 0.250 0.250 0.500

12.
This record from Alexandria describes a relaxed structure of Pu3SiPd2. The functional is PBE-GGA.

Total magnetization in μB per formula unit: 16.25
SG: P4/mmm (123)
Uncorrected formation energy in eV per atom: -0.43
Crystal system: tetragonal
Raw total energy in eV per atom: -10.23

a = 3.779 Å, b = 3.779 Å, c = 8.702 Å
α = 90.00°, β = 90.00°, γ = 90.00°
Element x y z (fractional)
Pd 0.500 0.500 0.172
Pd 0.500 0.500 0.828
Pu 0.000 0.000 0.658
Pu 0.000 0.000 0.000
Pu 0.000 0.000 0.342
Si 0.500 0.500 0.500

Copy entry 4 word for word.
This record from Alexandria describes a relaxed structure of YTe2O. The functional is PBE-GGA.

Total magnetization in μB per formula unit: 0.00
SG: I-42d (122)
Uncorrected formation energy in eV per atom: -0.44
Crystal system: tetragonal
Raw total energy in eV per atom: -4.86

a = 6.024 Å, b = 6.024 Å, c = 7.751 Å
α = 67.13°, β = 67.13°, γ = 90.00°
Element x y z (fractional)
O 0.250 0.750 0.500
O 0.500 0.500 0.000
Te 0.230 0.625 0.250
Te 0.520 0.125 0.250
Te 0.875 0.770 0.750
Te 0.375 0.480 0.750
Y 0.750 0.250 0.500
Y 0.000 0.000 0.000